[1]
! Ca2NdPdO4 (PBE, optimized geometry); values from VASP
! - SG: P2/m
! - Formation energy from raw total energies: -2348.4 meV/atom
&SYSTEM
  ibrav = 0, nat = 8, ntyp = 4
/
ATOMIC_SPECIES
O 16.00 O.upf
Ca 40.08 Ca.upf
Pd 106.42 Pd.upf
Nd 144.24 Nd.upf
ATOMIC_POSITIONS crystal
O 0.5000 0.2508 0.2428
O 0.0000 0.7195 0.2782
O 0.5000 0.7492 0.7572
O 0.0000 0.2805 0.7218
Ca 0.0000 0.5000 0.5000
Ca 0.5000 0.0000 0.5000
Pd 0.0000 0.0000 0.0000
Nd 0.5000 0.5000 0.0000
CELL_PARAMETERS angstrom
3.4189 0.0000 0.0000
0.0000 5.9853 -0.2110
0.0000 -2.3833 5.7822

---

[2]
! MgNpAl2 (PBE, optimized geometry); values from VASP
! - DOS(E_F): 7.75 states/eV per cell
! - E_form: 0.091 eV per atom
! - SG: P4/mmm
&SYSTEM
  ibrav = 0, nat = 4, ntyp = 3
/
ATOMIC_SPECIES
Al 26.98 Al.upf
Mg 24.30 Mg.upf
Np 237.00 Np.upf
ATOMIC_POSITIONS crystal
Al 0.0000 0.5000 0.0000
Al 0.0000 0.0000 0.5000
Mg 0.5000 0.0000 0.0000
Np 0.5000 0.5000 0.5000
CELL_PARAMETERS angstrom
-3.3372 -1.9870 0.9886
1.9981 -3.9561 -1.2063
1.5740 -0.5116 4.2848

---

[3]
! Li3Ca2Ag (PBE, optimized geometry); values from VASP
! - Offset from the most stable computed form: 0.00 eV per formula unit
! - DOS(E_F): 4.68 states/eV per cell
! - E_form: -0.106 eV per atom
! - SG: C2/m
&SYSTEM
  ibrav = 0, nat = 6, ntyp = 3
/
ATOMIC_SPECIES
Li 6.94 Li.upf
Ca 40.08 Ca.upf
Ag 107.87 Ag.upf
ATOMIC_POSITIONS crystal
Li 0.5000 0.0000 0.5000
Li 0.5000 0.5000 0.5000
Li 0.0000 0.0000 0.5000
Ca 0.7486 0.3750 0.1236
Ca 0.2514 0.6250 0.8764
Ag 0.0000 0.0000 0.0000
CELL_PARAMETERS angstrom
5.1737 -0.2079 -2.7513
-3.3060 4.8389 -0.1893
-0.1593 0.2881 6.0624

---

[4]
! K2AlCrIn (PBE, optimized geometry); values from VASP
! - DOS(E_F): 4.25 states/eV per cell
! - E_form: 0.742 eV per atom
! - SG: P4/mmm
&SYSTEM
  ibrav = 0, nat = 5, ntyp = 4
/
ATOMIC_SPECIES
Cr 52.00 Cr.upf
In 114.82 In.upf
Al 26.98 Al.upf
K 39.10 K.upf
ATOMIC_POSITIONS crystal
Cr 0.0000 0.5000 0.0000
In 0.5000 0.5000 0.5000
Al 0.0000 0.0000 0.0000
K 0.5000 0.0000 0.0000
K 0.0000 0.0000 0.5000
CELL_PARAMETERS angstrom
-2.5140 3.8811 -4.5874
-0.9445 -4.0083 -2.8736
-5.8827 -0.5758 2.7367

---

[5]
! Ac2AlPdS6 (PBE, optimized geometry); values from VASP
! - DOS(E_F): 3.04 states/eV per cell
! - SG: Pmmn
! - Formation energy from raw total energies: -1237.3 meV/atom
&SYSTEM
  ibrav = 0, nat = 20, ntyp = 4
/
ATOMIC_SPECIES
S 32.06 S.upf
Al 26.98 Al.upf
Pd 106.42 Pd.upf
Ac 227.00 Ac.upf
ATOMIC_POSITIONS crystal
S 0.5000 0.2335 0.2518
S 0.2985 0.5558 0.0000
S 0.7015 0.5558 0.0000
S 0.7552 0.0365 0.0000
S 0.2015 0.4442 0.5000
S 0.2552 0.9635 0.5000
S 0.2448 0.0365 0.0000
S 0.5000 0.2335 0.7482
S 0.7448 0.9635 0.5000
S 0.0000 0.7665 0.7518
S 0.7985 0.4442 0.5000
S 0.0000 0.7665 0.2482
Al 0.0000 0.7291 0.5000
Al 0.5000 0.2709 0.0000
Pd 0.5000 0.2545 0.5000
Pd 0.0000 0.7455 0.0000
Ac 0.5000 0.8028 0.2266
Ac 0.0000 0.1972 0.2734
Ac 0.0000 0.1972 0.7266
Ac 0.5000 0.8028 0.7734
CELL_PARAMETERS angstrom
6.6621 0.0000 0.0000
0.0000 6.9879 0.0000
0.0000 0.0000 9.6222

---

[6]
! KTc3Hg (PBE, optimized geometry); values from VASP
! - Offset from the most stable computed form: 0.00 eV per formula unit
! - DOS(E_F): 3.53 states/eV per cell
! - E_form: 2.280 eV per atom
! - SG: Pm-3m
&SYSTEM
  ibrav = 0, nat = 5, ntyp = 3
/
ATOMIC_SPECIES
Tc 98.00 Tc.upf
Hg 200.59 Hg.upf
K 39.10 K.upf
ATOMIC_POSITIONS crystal
Tc 0.0000 0.5000 0.0000
Tc 0.0000 0.0000 0.5000
Tc 0.5000 0.0000 0.0000
Hg 0.0000 0.0000 0.0000
K 0.5000 0.5000 0.5000
CELL_PARAMETERS angstrom
-2.9942 -3.1589 2.9494
4.2483 -2.8098 1.3034
0.7931 3.1255 4.1527

---

[7]
! TlGaHCl2 (PBE, optimized geometry); values from VASP
! - Offset from the most stable computed form: 2.87 eV per formula unit
! - DOS(E_F): 0.23 states/eV per cell
! - SG: P4/mmm
&SYSTEM
  ibrav = 0, nat = 5, ntyp = 4
/
ATOMIC_SPECIES
Cl 35.45 Cl.upf
Tl 204.38 Tl.upf
Ga 69.72 Ga.upf
H 1.01 H.upf
ATOMIC_POSITIONS crystal
Cl 0.5000 0.0000 0.0000
Cl 0.0000 0.0000 0.5000
Tl 0.0000 0.5000 0.0000
Ga 0.0000 0.0000 0.0000
H 0.5000 0.5000 0.5000
CELL_PARAMETERS angstrom
-0.6392 -4.8579 -1.7702
5.4340 -0.8530 0.3786
-0.6074 -1.7008 4.8867

---

[8]
! HfBe2Ag (PBE, optimized geometry); values from VASP
! - Offset from the most stable computed form: 0.00 eV per formula unit
! - DOS(E_F): 2.98 states/eV per cell
! - E_form: 0.106 eV per atom
! - SG: Fm-3m
&SYSTEM
  ibrav = 0, nat = 4, ntyp = 3
/
ATOMIC_SPECIES
Be 9.01 Be.upf
Hf 178.49 Hf.upf
Ag 107.87 Ag.upf
ATOMIC_POSITIONS crystal
Be 0.2500 0.2500 0.2500
Be 0.7500 0.7500 0.7500
Hf 0.5000 0.5000 0.5000
Ag 0.0000 0.0000 0.0000
CELL_PARAMETERS angstrom
-1.8674 -0.1489 3.8495
0.9413 2.9548 2.9515
-2.9104 2.9470 1.0827

---

[9]
! CaGaGeOs (PBE, optimized geometry); values from VASP
! - DOS(E_F): 2.58 states/eV per cell
! - E_form: -0.188 eV per atom
! - SG: R3m
&SYSTEM
  ibrav = 0, nat = 4, ntyp = 4
/
ATOMIC_SPECIES
Ca 40.08 Ca.upf
Ge 72.64 Ge.upf
Ga 69.72 Ga.upf
Os 190.23 Os.upf
ATOMIC_POSITIONS crystal
Ca 0.8162 0.8162 0.5515
Ge 0.0161 0.0161 0.9517
Ga 0.2621 0.2621 0.2136
Os 0.6315 0.6315 0.1055
CELL_PARAMETERS angstrom
4.2647 0.0000 0.0000
2.1323 3.6933 0.0000
2.1323 1.2311 5.3616

---

[10]
! HgAsS3 (PBE, optimized geometry); values from VASP
! - DOS(E_F): 2.42 states/eV per cell
! - SG: P2_1/m
! - Formation energy from raw total energies: 70.6 meV/atom
&SYSTEM
  ibrav = 0, nat = 10, ntyp = 3
/
ATOMIC_SPECIES
As 74.92 As.upf
Hg 200.59 Hg.upf
S 32.06 S.upf
ATOMIC_POSITIONS crystal
As 0.7500 0.8871 0.2894
As 0.2500 0.1129 0.7106
Hg 0.2500 0.2278 0.1741
Hg 0.7500 0.7722 0.8259
S 0.7500 0.5119 0.2620
S 0.7500 0.9656 0.6276
S 0.2500 0.0820 0.8936
S 0.2500 0.0344 0.3724
S 0.7500 0.9180 0.1064
S 0.2500 0.4881 0.7380
CELL_PARAMETERS angstrom
4.1811 0.0000 0.0000
0.0000 6.1912 -0.5747
0.0000 -3.6278 11.4122

---

[11]
! Si4Ge2Mo (PBE, optimized geometry); values from VASP
! - DOS(E_F): 4.30 states/eV per cell
! - SG: I4/mmm
! - Formation energy from raw total energies: 745.4 meV/atom
&SYSTEM
  ibrav = 0, nat = 7, ntyp = 3
/
ATOMIC_SPECIES
Si 28.09 Si.upf
Mo 95.94 Mo.upf
Ge 72.64 Ge.upf
ATOMIC_POSITIONS crystal
Si 0.5000 0.0000 0.0000
Si 0.0000 0.5000 0.0000
Si 0.1883 0.1883 0.6234
Si 0.8117 0.8117 0.3766
Mo 0.0000 0.0000 0.0000
Ge 0.6306 0.6306 0.7388
Ge 0.3694 0.3694 0.2612
CELL_PARAMETERS angstrom
-0.2008 -1.1452 4.6051
4.4815 -1.5614 -0.1928
4.3023 4.6555 3.7947

---

[12]
! In2CoAs (PBE, optimized geometry); values from VASP
! - DOS(E_F): 3.82 states/eV per cell
! - E_form: 0.367 eV per atom
! - SG: C2/m
&SYSTEM
  ibrav = 0, nat = 4, ntyp = 3
/
ATOMIC_SPECIES
As 74.92 As.upf
In 114.82 In.upf
Co 58.93 Co.upf
ATOMIC_POSITIONS crystal
As 0.0000 0.5000 0.5000
In 0.0000 0.0000 0.0000
In 0.5000 0.0000 0.5000
Co 0.5000 0.5000 0.0000
CELL_PARAMETERS angstrom
6.9351 -0.0447 -0.1263
-2.7589 4.2664 0.0024
1.4174 0.9051 2.5597

---

[13]
! InHgH2O (PBE, optimized geometry); values from VASP
! - DOS(E_F): 1.91 states/eV per cell
! - SG: P4/mmm
&SYSTEM
  ibrav = 0, nat = 5, ntyp = 4
/
ATOMIC_SPECIES
H 1.01 H.upf
In 114.82 In.upf
Hg 200.59 Hg.upf
O 16.00 O.upf
ATOMIC_POSITIONS crystal
H 0.0000 0.0000 0.5000
H 0.5000 0.0000 0.0000
In 0.5000 0.5000 0.5000
Hg 0.0000 0.0000 0.0000
O 0.0000 0.5000 0.0000
CELL_PARAMETERS angstrom
-1.6329 -2.3092 2.1691
4.8525 -0.1855 3.4555
-1.2713 2.7127 1.9309

---

[14]
! Zr2CrRu (PBE, optimized geometry); values from VASP
! - DOS(E_F): 3.91 states/eV per cell
! - E_form: 0.162 eV per atom
! - SG: R-3m
&SYSTEM
  ibrav = 0, nat = 4, ntyp = 3
/
ATOMIC_SPECIES
Zr 91.22 Zr.upf
Ru 101.07 Ru.upf
Cr 52.00 Cr.upf
ATOMIC_POSITIONS crystal
Zr 0.0020 0.0020 0.0020
Zr 0.4980 0.4980 0.4980
Ru 0.7500 0.7500 0.7500
Cr 0.2500 0.2500 0.2500
CELL_PARAMETERS angstrom
8.5802 -0.0181 -0.0107
7.9994 3.1033 -0.0107
7.9994 1.4885 2.7230

---

[15]
! Nd3Th8 (PBE, optimized geometry); values from VASP
! - DOS(E_F): 17.66 states/eV per cell
! - E_form: 0.033 eV per atom
! - SG: R-3m
&SYSTEM
  ibrav = 0, nat = 11, ntyp = 2
/
ATOMIC_SPECIES
Th 232.04 Th.upf
Nd 144.24 Nd.upf
ATOMIC_POSITIONS crystal
Th 0.8184 0.8184 0.5448
Th 0.4551 0.4551 0.6347
Th 0.9079 0.9079 0.2764
Th 0.3638 0.3638 0.9085
Th 0.6362 0.6362 0.0915
Th 0.1816 0.1816 0.4552
Th 0.5449 0.5449 0.3653
Th 0.0921 0.0921 0.7236
Nd 0.0000 0.0000 0.0000
Nd 0.7277 0.7277 0.8169
Nd 0.2723 0.2723 0.1831
CELL_PARAMETERS angstrom
0.0895 -2.4543 2.6170
1.9980 -2.9570 -0.3805
25.8210 13.4435 14.1859

---

[16]
! NiP2Se (PBE, optimized geometry); values from VASP
! - DOS(E_F): 0.80 states/eV per cell
! - SG: I-42d
! - Formation energy from raw total energies: 51.9 meV/atom
&SYSTEM
  ibrav = 0, nat = 8, ntyp = 3
/
ATOMIC_SPECIES
P 30.97 P.upf
Ni 58.69 Ni.upf
Se 78.96 Se.upf
ATOMIC_POSITIONS crystal
P 0.8750 0.8117 0.7500
P 0.3750 0.4383 0.7500
P 0.5617 0.1250 0.2500
P 0.1883 0.6250 0.2500
Ni 0.5000 0.5000 0.0000
Ni 0.2500 0.7500 0.5000
Se 0.7500 0.2500 0.5000
Se 0.0000 0.0000 0.0000
CELL_PARAMETERS angstrom
-2.8180 -4.1111 -1.9638
4.4399 -2.9960 -0.0993
-0.2132 -5.2369 3.9622

---

[17]
! K15Sr (PBE, optimized geometry); values from VASP
! - DOS(E_F): 11.10 states/eV per cell
! - E_form: 0.025 eV per atom
! - SG: P-6m2
&SYSTEM
  ibrav = 0, nat = 16, ntyp = 2
/
ATOMIC_SPECIES
K 39.10 K.upf
Sr 87.62 Sr.upf
ATOMIC_POSITIONS crystal
K 0.3333 0.6667 0.7520
K 0.5002 0.4998 0.5000
K 0.5002 0.0004 0.0000
K 0.8348 0.1652 0.7528
K 0.5002 0.4998 0.0000
K 0.8348 0.6696 0.2472
K 0.8348 0.6696 0.7528
K 0.0000 0.0000 0.5000
K 0.5002 0.0003 0.5000
K 0.3304 0.1652 0.7528
K 0.9996 0.4998 0.0000
K 0.3333 0.6667 0.2480
K 0.8348 0.1652 0.2472
K 0.3304 0.1652 0.2472
K 0.9997 0.4998 0.5000
Sr 0.0000 0.0000 0.0000
CELL_PARAMETERS angstrom
9.2933 0.0000 0.0000
-4.6466 8.0482 0.0000
0.0000 0.0000 15.1557

---

[18]
! Tb3Nd4Sm5 (PBE, optimized geometry); values from VASP
! - DOS(E_F): 16.35 states/eV per cell
! - E_form: 0.013 eV per atom
! - SG: P-1
&SYSTEM
  ibrav = 0, nat = 12, ntyp = 3
/
ATOMIC_SPECIES
Sm 150.36 Sm.upf
Tb 158.93 Tb.upf
Nd 144.24 Nd.upf
ATOMIC_POSITIONS crystal
Sm 0.3330 0.6657 0.8329
Sm 0.7513 0.4981 0.9984
Sm 0.2487 0.5019 0.0016
Sm 0.6670 0.3343 0.1671
Sm 0.5000 0.0000 0.5000
Tb 0.4195 0.8347 0.6667
Tb 0.5805 0.1653 0.3333
Tb 0.0000 0.0000 0.5000
Nd 0.8326 0.6665 0.8338
Nd 0.0839 0.1668 0.3343
Nd 0.1674 0.3335 0.1662
Nd 0.9161 0.8332 0.6657
CELL_PARAMETERS angstrom
-4.0154 -6.0098 -0.5974
7.1156 4.7645 -7.6421
-2.3567 -8.1607 9.9573

---

[19]
! TbPm3Pr4 (PBE, optimized geometry); values from VASP
! - Offset from the most stable computed form: 0.00 eV per formula unit
! - DOS(E_F): 10.70 states/eV per cell
! - E_form: 0.013 eV per atom
! - SG: C2/m
&SYSTEM
  ibrav = 0, nat = 8, ntyp = 3
/
ATOMIC_SPECIES
Pr 140.91 Pr.upf
Pm 145.00 Pm.upf
Tb 158.93 Tb.upf
ATOMIC_POSITIONS crystal
Pr 0.8758 0.4597 0.7517
Pr 0.3753 0.9588 0.7506
Pr 0.6247 0.0412 0.2494
Pr 0.1242 0.5403 0.2483
Pm 0.2504 0.2511 0.5008
Pm 0.0000 0.5000 0.0000
Pm 0.7496 0.7489 0.4992
Tb 0.5000 0.0000 0.0000
CELL_PARAMETERS angstrom
3.6871 0.0000 0.0000
0.0000 6.1351 -1.7717
-1.8435 -5.8960 14.1076

---

[20]
! TlCd2CuPb (PBE, optimized geometry); values from VASP
! - DOS(E_F): 3.13 states/eV per cell
! - E_form: 0.169 eV per atom
! - SG: P4/mmm
&SYSTEM
  ibrav = 0, nat = 5, ntyp = 4
/
ATOMIC_SPECIES
Cu 63.55 Cu.upf
Tl 204.38 Tl.upf
Cd 112.41 Cd.upf
Pb 207.20 Pb.upf
ATOMIC_POSITIONS crystal
Cu 0.0000 0.0000 0.0000
Tl 0.5000 0.5000 0.5000
Cd 0.5000 0.0000 0.0000
Cd 0.0000 0.5000 0.0000
Pb 0.0000 0.0000 0.5000
CELL_PARAMETERS angstrom
5.0509 0.0000 0.0000
0.0000 5.0509 0.0000
0.0000 0.0000 5.2181

---

[21]
! BaRe2As (PBE, optimized geometry); values from VASP
! - DOS(E_F): 4.24 states/eV per cell
! - E_form: 0.893 eV per atom
! - SG: P4/mmm
&SYSTEM
  ibrav = 0, nat = 4, ntyp = 3
/
ATOMIC_SPECIES
As 74.92 As.upf
Re 186.21 Re.upf
Ba 137.33 Ba.upf
ATOMIC_POSITIONS crystal
As 0.5000 0.5000 0.2500
Re 0.0000 0.0000 0.4095
Re 0.0000 0.0000 0.0905
Ba 0.5000 0.5000 0.7500
CELL_PARAMETERS angstrom
-1.3539 -2.7102 -1.0159
-0.6055 -0.8315 3.0253
-7.2145 3.7581 -0.4112

---

[22]
! TmIn2Se4 (PBE, optimized geometry); values from VASP
! - DOS(E_F): 3.13 states/eV per cell
! - SG: P-42m
! - Formation energy from raw total energies: -796.9 meV/atom
&SYSTEM
  ibrav = 0, nat = 7, ntyp = 3
/
ATOMIC_SPECIES
In 114.82 In.upf
Se 78.96 Se.upf
Tm 168.93 Tm.upf
ATOMIC_POSITIONS crystal
In 0.5000 0.0000 0.5000
In 0.0000 0.5000 0.5000
Se 0.7378 0.7378 0.2391
Se 0.2622 0.2622 0.2391
Se 0.2622 0.7378 0.7609
Se 0.7378 0.2622 0.7609
Tm 0.0000 0.0000 0.0000
CELL_PARAMETERS angstrom
6.1604 0.0000 0.0000
0.0000 6.1604 0.0000
0.0000 0.0000 6.1851

---

[23]
! Cs2AuCl6 (PBE, optimized geometry); values from VASP
! - DOS(E_F): 0.89 states/eV per cell
! - SG: P2_1/c
! - Formation energy from raw total energies: -1005.8 meV/atom
&SYSTEM
  ibrav = 0, nat = 18, ntyp = 3
/
ATOMIC_SPECIES
Cl 35.45 Cl.upf
Cs 132.91 Cs.upf
Au 196.97 Au.upf
ATOMIC_POSITIONS crystal
Cl 0.2934 0.8984 0.6500
Cl 0.7066 0.1016 0.3500
Cl 0.7934 0.3984 0.8500
Cl 0.1579 0.8428 0.9132
Cl 0.2525 0.4051 0.9171
Cl 0.7475 0.5949 0.0829
Cl 0.2066 0.6016 0.1500
Cl 0.8421 0.1572 0.0868
Cl 0.2475 0.0949 0.4171
Cl 0.7525 0.9051 0.5829
Cl 0.3421 0.6572 0.4132
Cl 0.6579 0.3428 0.5868
Cs 0.8360 0.6367 0.3640
Cs 0.1640 0.3633 0.6360
Cs 0.3360 0.1367 0.1360
Cs 0.6640 0.8633 0.8640
Au 0.0000 0.5000 0.0000
Au 0.5000 0.0000 0.5000
CELL_PARAMETERS angstrom
-1.4684 6.3396 2.6953
-6.2712 -3.1752 -2.4628
-1.8201 -5.2936 11.4596

---

[24]
! Cd7In4Ag (PBE, optimized geometry); values from VASP
! - DOS(E_F): 3.08 states/eV per cell
! - E_form: 0.020 eV per atom
! - SG: P-3m1
&SYSTEM
  ibrav = 0, nat = 12, ntyp = 3
/
ATOMIC_SPECIES
Cd 112.41 Cd.upf
Ag 107.87 Ag.upf
In 114.82 In.upf
ATOMIC_POSITIONS crystal
Cd 0.6667 0.3333 0.5734
Cd 0.0000 0.0000 0.0000
Cd 0.3333 0.6667 0.4266
Cd 0.0000 0.0000 0.7452
Cd 0.0000 0.0000 0.2548
Cd 0.6667 0.3333 0.8267
Cd 0.3333 0.6667 0.1733
Ag 0.0000 0.0000 0.5000
In 0.3333 0.6667 0.6593
In 0.6667 0.3333 0.0871
In 0.3333 0.6667 0.9129
In 0.6667 0.3333 0.3407
CELL_PARAMETERS angstrom
3.2608 0.0000 0.0000
-1.6304 2.8239 0.0000
0.0000 0.0000 30.7064

---

| no. | final energy (eV for the cell shown) |
| --- | --- |
| 1 | -52.6 |
| 2 | -21.7 |
| 3 | -13.2 |
| 4 | -14.6 |
| 5 | -108.6 |
| 6 | -21.1 |
| 7 | -12.5 |
| 8 | -19.8 |
| 9 | -21.6 |
| 10 | -34.0 |
| 11 | -36.5 |
| 12 | -15.8 |
| 13 | -14.4 |
| 14 | -35.3 |
| 15 | -73.3 |
| 16 | -39.8 |
| 17 | -17.7 |
| 18 | -56.4 |
| 19 | -37.9 |
| 20 | -11.2 |
| 21 | -27.9 |
| 22 | -29.5 |
| 23 | -50.2 |
| 24 | -20.0 |